Entry from Alexandria: a relaxed LiSbP2 crystal (PBEsol). Values from VASP.

Structure (Quantum ESPRESSO input):
```
&SYSTEM
  ibrav = 0, nat = 4, ntyp = 3
/
ATOMIC_SPECIES
Li 6.94 Li.upf
Sb 121.76 Sb.upf
P 30.97 P.upf
CELL_PARAMETERS angstrom
-1.653 2.145 5.123
1.653 -2.145 5.123
1.653 2.145 -5.123
ATOMIC_POSITIONS crystal
Li 0.000 0.000 0.000
Sb 0.716 0.216 0.500
P 0.332 0.832 0.500
P 0.493 0.493 0.000
```

Calculated total energy: -4.560 eV/atom
N(E_F): 1.6 states/eV/f.u.
Formation energy without anion corrections: -33 meV/atom